1.
Density functional theory data (PBE) for a relaxed Sr2InCoH6 crystal.

Mass density (g cm⁻³): 4.887
Final energy (eV per atom): -3.59
M_tot (μB/f.u.): 0.0

Cell lengths 7.8438, 7.8438, 7.8438 Å; angles 90.00, 90.00, 90.00 degrees
Space group Fm-3m (No. 225)
Unique sites:
Sr 0.2500 0.2500 0.2500 (multiplicity 8)
In 0.0000 0.0000 0.0000 (multiplicity 4)
Co 0.0000 0.0000 0.5000 (multiplicity 4)
H 0.0000 0.0000 0.2942 (multiplicity 24)



2.
Density functional theory data (PBE) for a relaxed NdDyCo2Ge2C crystal.

Mass density (g cm⁻³): 8.233
Final energy (eV per atom): -6.60
M_tot (μB/f.u.): 0.0

Cell lengths 10.8626, 3.9840, 6.9347 Å; angles 90.00, 128.54, 90.00 degrees
Space group Cm (No. 8)
Unique sites:
Nd 0.0000 0.0000 0.0000 (multiplicity 2)
Dy 0.1177 0.0000 0.5890 (multiplicity 2)
Co 0.2508 0.5000 0.3796 (multiplicity 2)
Co 0.3718 0.0000 0.2195 (multiplicity 2)
Ge 0.2264 0.5000 0.0065 (multiplicity 2)
Ge 0.3926 0.0000 0.5839 (multiplicity 2)
C 0.0638 0.5000 0.3085 (multiplicity 2)



3.
Density functional theory data (PBE) for a relaxed NaSb2Pd2 crystal.

Mass density (g cm⁻³): 6.788
Final energy (eV per atom): -4.40

Cell lengths 4.5660, 4.5660, 11.2488 Å; angles 90.00, 90.00, 90.00 degrees
Space group I4/mmm (No. 139)
Unique sites:
Na 0.0000 0.0000 0.0000 (multiplicity 2)
Sb 0.0000 0.0000 0.3705 (multiplicity 4)
Pd 0.0000 0.5000 0.2500 (multiplicity 4)



4.
Density functional theory data (PBE) for a relaxed TmGeAuSeS2 crystal.

Mass density (g cm⁻³): 6.776
Final energy (eV per atom): -4.87
M_tot (μB/f.u.): 0.0

Cell lengths 3.9732, 13.8975, 10.3259 Å; angles 90.00, 90.00, 90.00 degrees
Space group Cmcm (No. 63)
Unique sites:
Tm 0.0000 0.0000 0.0000 (multiplicity 4)
Ge 0.0000 0.3030 0.2500 (multiplicity 4)
Au 0.0000 0.3467 0.7500 (multiplicity 4)
Se 0.0000 0.0724 0.7500 (multiplicity 4)
S 0.0000 0.3676 0.5229 (multiplicity 8)



5.
Density functional theory data (PBE) for a relaxed SmDy2S3 crystal.

Mass density (g cm⁻³): 7.345
Final energy (eV per atom): -6.39
M_tot (μB/f.u.): 0.0

Cell lengths 3.9286, 3.9286, 9.6677 Å; angles 90.00, 90.00, 120.00 degrees
Space group P-3m1 (No. 164)
Unique sites:
Sm 0.0000 0.0000 0.0000 (multiplicity 1)
Dy 0.3333 0.6667 0.6647 (multiplicity 2)
S 0.0000 0.0000 0.5000 (multiplicity 1)
S 0.3333 0.6667 0.1748 (multiplicity 2)



6.
Density functional theory data (PBE) for a relaxed LuZnCuSb crystal.

Relative energy among the computed polymorphs (meV/atom): 46
Mass density (g cm⁻³): 8.719
Final energy (eV per atom): -3.51
M_tot (μB/f.u.): 0.0

Cell lengths 6.8704, 6.8704, 6.8704 Å; angles 90.00, 90.00, 90.00 degrees
Space group F-43m (No. 216)
Unique sites:
Lu 0.0000 0.0000 0.0000 (multiplicity 4)
Zn 0.2500 0.2500 0.7500 (multiplicity 4)
Cu 0.0000 0.0000 0.5000 (multiplicity 4)
Sb 0.2500 0.2500 0.2500 (multiplicity 4)